Compound: LiCrAs
Source: Alexandria via LeMat-Bulk
Functional: PBE
Structure: optimized geometry

Structure (CIF):
```
data_LiCrAs
_space_group_name_H-M_alt 'P n m a'
_space_group_IT_number 62
_space_group_name_Hall '-P 2ac 2n'
_cell_length_a 6.936
_cell_length_b 3.394
_cell_length_c 7.450
_cell_angle_alpha 90.00
_cell_angle_beta 90.00
_cell_angle_gamma 90.00
loop_
_atom_site_label
_atom_site_type_symbol
_atom_site_fract_x
_atom_site_fract_y
_atom_site_fract_z
Li1 Li 0.042 0.250 0.160
Cr1 Cr 0.106 0.250 0.552
As1 As 0.245 0.750 0.358
```

Output
E_tot: -5.68 eV/atom

Compound: Tb4ErMg
Source: Alexandria via LeMat-Bulk
Functional: PBE
Structure: optimized geometry

Structure (CIF):
```
data_Tb4ErMg
_space_group_name_H-M_alt 'C 1 2/c 1'
_space_group_IT_number 15
_space_group_name_Hall '-C 2yc'
_cell_length_a 10.528
_cell_length_b 6.101
_cell_length_c 11.828
_cell_angle_alpha 90.00
_cell_angle_beta 107.27
_cell_angle_gamma 90.00
loop_
_atom_site_label
_atom_site_type_symbol
_atom_site_fract_x
_atom_site_fract_y
_atom_site_fract_z
Tb1 Tb 0.082 0.246 0.000
Tb2 Tb 0.167 0.419 0.750
Er1 Er 0.250 0.250 0.500
Mg1 Mg 0.000 0.083 0.250
```

Output
E_tot: -4.09 eV/atom

Compound: LaCrBr2
Source: Alexandria via LeMat-Bulk
Functional: PBE
Structure: optimized geometry

Structure (CIF):
```
data_LaCrBr2
_space_group_name_H-M_alt 'F m -3 m'
_space_group_IT_number 225
_space_group_name_Hall '-F 4 2 3'
_cell_length_a 7.135
_cell_length_b 7.135
_cell_length_c 7.135
_cell_angle_alpha 90.00
_cell_angle_beta 90.00
_cell_angle_gamma 90.00
loop_
_atom_site_label
_atom_site_type_symbol
_atom_site_fract_x
_atom_site_fract_y
_atom_site_fract_z
La1 La 0.000 0.000 0.000
Cr1 Cr 0.000 0.000 0.500
Br1 Br 0.250 0.250 0.250
```

Output
E_tot: -4.36 eV/atom
uncorrected formation energy: 0.118 eV per atom

Compound: Cs2NiBr6N
Source: Alexandria via LeMat-Bulk
Functional: PBE
Structure: optimized geometry

Structure (CIF):
```
data_Cs2NiBr6N
_space_group_name_H-M_alt 'I 4/m m m'
_space_group_IT_number 139
_space_group_name_Hall '-I 4 2'
_cell_length_a 7.093
_cell_length_b 7.093
_cell_length_c 11.934
_cell_angle_alpha 90.00
_cell_angle_beta 90.00
_cell_angle_gamma 90.00
loop_
_atom_site_label
_atom_site_type_symbol
_atom_site_fract_x
_atom_site_fract_y
_atom_site_fract_z
Cs1 Cs 0.000 0.500 0.250
Ni1 Ni 0.000 0.000 0.000
Br1 Br 0.000 0.000 0.197
Br2 Br 0.239 0.239 0.500
N1 N 0.000 0.000 0.500
```

Output
E_tot: -2.97 eV/atom
uncorrected formation energy: -0.380 eV per atom

Compound: Th3FeI3
Source: Alexandria via LeMat-Bulk
Functional: PBE
Structure: optimized geometry

Structure (CIF):
```
data_Th3FeI3
_space_group_name_H-M_alt 'P 1 21/m 1'
_space_group_IT_number 11
_space_group_name_Hall '-P 2yb'
_cell_length_a 9.517
_cell_length_b 3.992
_cell_length_c 12.688
_cell_angle_alpha 90.00
_cell_angle_beta 91.90
_cell_angle_gamma 90.00
loop_
_atom_site_label
_atom_site_type_symbol
_atom_site_fract_x
_atom_site_fract_y
_atom_site_fract_z
Th1 Th 0.072 0.250 0.393
Th2 Th 0.122 0.250 0.837
Th3 Th 0.305 0.750 0.621
Fe1 Fe 0.124 0.250 0.624
I1 I 0.142 0.250 0.118
I2 I 0.382 0.750 0.368
I3 I 0.388 0.750 0.876
```

Output
E_tot: -5.79 eV/atom
uncorrected formation energy: -0.736 eV per atom

Compound: Li2PHAu
Source: Alexandria via LeMat-Bulk
Functional: PBE
Structure: optimized geometry

Structure (CIF):
```
data_Li2PHAu
_space_group_name_H-M_alt 'P 4/m m m'
_space_group_IT_number 123
_space_group_name_Hall '-P 4 2'
_cell_length_a 3.932
_cell_length_b 3.932
_cell_length_c 3.896
_cell_angle_alpha 90.00
_cell_angle_beta 90.00
_cell_angle_gamma 90.00
loop_
_atom_site_label
_atom_site_type_symbol
_atom_site_fract_x
_atom_site_fract_y
_atom_site_fract_z
Li1 Li 0.000 0.500 0.000
P1 P 0.000 0.000 0.500
H1 H 0.500 0.500 0.000
Au1 Au 0.500 0.500 0.500
```

Output
E_tot: -3.49 eV/atom

Compound: TePb2Se
Source: Alexandria via LeMat-Bulk
Functional: PBE
Structure: optimized geometry

Structure (CIF):
```
data_TePb2Se
_space_group_name_H-M_alt 'I -4 m 2'
_space_group_IT_number 119
_space_group_name_Hall 'I -4 -2'
_cell_length_a 4.498
_cell_length_b 4.498
_cell_length_c 11.969
_cell_angle_alpha 90.00
_cell_angle_beta 90.00
_cell_angle_gamma 90.00
loop_
_atom_site_label
_atom_site_type_symbol
_atom_site_fract_x
_atom_site_fract_y
_atom_site_fract_z
Te1 Te 0.000 0.000 0.000
Pb1 Pb 0.000 0.000 0.500
Pb2 Pb 0.000 0.500 0.750
Se1 Se 0.000 0.500 0.250
```

Output
E_tot: -3.68 eV/atom
uncorrected formation energy: -0.166 eV per atom

Compound: Tb3Ce4DySe8
Source: Alexandria via LeMat-Bulk
Functional: PBE
Structure: optimized geometry

Structure (CIF):
```
data_Tb3Ce4DySe8
_space_group_name_H-M_alt 'R -3 m'
_space_group_IT_number 166
_space_group_name_Hall '-R 3 2"'
_cell_length_a 8.2527
_cell_length_b 8.2527
_cell_length_c 20.5285
_cell_angle_alpha 90.00
_cell_angle_beta 90.00
_cell_angle_gamma 120.00
loop_
_atom_site_label
_atom_site_type_symbol
_atom_site_fract_x
_atom_site_fract_y
_atom_site_fract_z
Tb1 Tb 0.0000 0.5000 0.0000
Ce1 Ce 0.0000 0.0000 0.5000
Ce2 Ce 0.0000 0.5000 0.5000
Dy1 Dy 0.0000 0.0000 0.0000
Se1 Se 0.0000 0.0000 0.2533
Se2 Se 0.0009 0.5005 0.7464
```

Output
E_tot: -6.19 eV/atom
uncorrected formation energy: -1.805 eV per atom

Compound: CoRe3Pt
Source: Alexandria via LeMat-Bulk
Functional: PBE
Structure: optimized geometry

Structure (CIF):
```
data_CoRe3Pt
_space_group_name_H-M_alt 'P m -3 m'
_space_group_IT_number 221
_space_group_name_Hall '-P 4 2 3'
_cell_length_a 4.360
_cell_length_b 4.360
_cell_length_c 4.360
_cell_angle_alpha 90.00
_cell_angle_beta 90.00
_cell_angle_gamma 90.00
loop_
_atom_site_label
_atom_site_type_symbol
_atom_site_fract_x
_atom_site_fract_y
_atom_site_fract_z
Co1 Co 0.000 0.000 0.000
Re1 Re 0.000 0.000 0.500
Pt1 Pt 0.500 0.500 0.500
```

Output
E_tot: -8.63 eV/atom

Compound: VSiC2Br
Source: Alexandria via LeMat-Bulk
Functional: PBE
Structure: optimized geometry

Structure (CIF):
```
data_VSiC2Br
_space_group_name_H-M_alt 'P 4/m m m'
_space_group_IT_number 123
_space_group_name_Hall '-P 4 2'
_cell_length_a 3.871
_cell_length_b 3.871
_cell_length_c 4.867
_cell_angle_alpha 90.00
_cell_angle_beta 90.00
_cell_angle_gamma 90.00
loop_
_atom_site_label
_atom_site_type_symbol
_atom_site_fract_x
_atom_site_fract_y
_atom_site_fract_z
V1 V 0.000 0.000 0.000
Si1 Si 0.500 0.500 0.000
C1 C 0.000 0.500 0.500
Br1 Br 0.500 0.500 0.500
```

Output
E_tot: -4.02 eV/atom
uncorrected formation energy: 2.916 eV per atom

Compound: LiErTm2
Source: Alexandria via LeMat-Bulk
Functional: PBE
Structure: optimized geometry

Structure (CIF):
```
data_LiErTm2
_space_group_name_H-M_alt 'R -3 m'
_space_group_IT_number 166
_space_group_name_Hall '-R 3 2"'
_cell_length_a 3.4094
_cell_length_b 3.4094
_cell_length_c 35.9420
_cell_angle_alpha 90.00
_cell_angle_beta 90.00
_cell_angle_gamma 120.00
loop_
_atom_site_label
_atom_site_type_symbol
_atom_site_fract_x
_atom_site_fract_y
_atom_site_fract_z
Li1 Li 0.0000 0.0000 0.0000
Er1 Er 0.0000 0.0000 0.5000
Tm1 Tm 0.0000 0.0000 0.0888
```

Output
E_tot: -3.67 eV/atom

Compound: Sr3CdBi3
Source: Alexandria via LeMat-Bulk
Functional: PBE
Structure: optimized geometry

Structure (CIF):
```
data_Sr3CdBi3
_space_group_name_H-M_alt 'P 63/m'
_space_group_IT_number 176
_space_group_name_Hall '-P 6c'
_cell_length_a 10.0218
_cell_length_b 10.0218
_cell_length_c 6.8485
_cell_angle_alpha 90.00
_cell_angle_beta 90.00
_cell_angle_gamma 120.00
loop_
_atom_site_label
_atom_site_type_symbol
_atom_site_fract_x
_atom_site_fract_y
_atom_site_fract_z
Sr1 Sr 0.0485 0.6915 0.2500
Cd1 Cd 0.3333 0.6667 0.7500
Bi1 Bi 0.0501 0.6876 0.7500
```

Output
E_tot: -3.11 eV/atom

Compound: SbRh2Br
Source: Alexandria via LeMat-Bulk
Functional: PBE
Structure: optimized geometry

Structure (CIF):
```
data_SbRh2Br
_space_group_name_H-M_alt 'P 1 m 1'
_space_group_IT_number 6
_space_group_name_Hall 'P -2y'
_cell_length_a 3.795
_cell_length_b 3.625
_cell_length_c 6.456
_cell_angle_alpha 90.00
_cell_angle_beta 93.55
_cell_angle_gamma 90.00
loop_
_atom_site_label
_atom_site_type_symbol
_atom_site_fract_x
_atom_site_fract_y
_atom_site_fract_z
Sb1 Sb 0.000 0.000 0.000
Rh1 Rh 0.503 0.500 0.925
Rh2 Rh 0.519 0.000 0.269
Br1 Br 0.416 0.500 0.525
```

Output
E_tot: -5.28 eV/atom
uncorrected formation energy: -0.158 eV per atom

Compound: Th3MnC3
Source: Alexandria via LeMat-Bulk
Functional: PBE
Structure: optimized geometry

Structure (CIF):
```
data_Th3MnC3
_space_group_name_H-M_alt 'C m c m'
_space_group_IT_number 63
_space_group_name_Hall '-C 2c 2'
_cell_length_a 8.798
_cell_length_b 10.569
_cell_length_c 5.363
_cell_angle_alpha 90.00
_cell_angle_beta 90.00
_cell_angle_gamma 90.00
loop_
_atom_site_label
_atom_site_type_symbol
_atom_site_fract_x
_atom_site_fract_y
_atom_site_fract_z
Th1 Th 0.000 0.112 0.250
Th2 Th 0.209 0.377 0.250
Mn1 Mn 0.000 0.304 0.750
C1 C 0.000 0.125 0.750
C2 C 0.205 0.366 0.750
```

Output
E_tot: -8.68 eV/atom

Compound: KNa12Sr3
Source: Alexandria via LeMat-Bulk
Functional: PBE
Structure: optimized geometry

Structure (CIF):
```
data_KNa12Sr3
_space_group_name_H-M_alt 'P 4/m m m'
_space_group_IT_number 123
_space_group_name_Hall '-P 4 2'
_cell_length_a 5.441
_cell_length_b 5.441
_cell_length_c 23.290
_cell_angle_alpha 90.00
_cell_angle_beta 90.00
_cell_angle_gamma 90.00
loop_
_atom_site_label
_atom_site_type_symbol
_atom_site_fract_x
_atom_site_fract_y
_atom_site_fract_z
K1 K 0.000 0.000 0.000
Na1 Na 0.000 0.500 0.127
Na2 Na 0.000 0.500 0.376
Na3 Na 0.500 0.500 0.000
Na4 Na 0.500 0.500 0.248
Na5 Na 0.500 0.500 0.500
Sr1 Sr 0.000 0.000 0.252
Sr2 Sr 0.000 0.000 0.500
```

Output
E_tot: -1.32 eV/atom